1.
The following is a DFT calculation (PBE) of a relaxed structure of YInAs2.

The structure in POSCAR format:
```
YInAs2
1.0
-3.823 -0.479 -0.536
-0.330 -1.405 3.605
-1.342 4.564 5.496
As Y In
2 1 1
Direct
0.000 0.046 0.956 As
0.000 0.454 0.544 As
0.500 0.750 0.750 Y
0.500 0.250 0.250 In
```

Results
Symmetry: P2/m, No. 10
Mass density: 6.1 Mg/m³
Spin magnetization: 0.000 μB per formula unit
VASP energy: -20.93 eV per cell

2.
The following is a DFT calculation (PBE) of a relaxed structure of DyGeRu.

The structure in POSCAR format:
```
DyGeRu
1.0
4.074 0.159 -1.094
-0.452 4.052 -1.094
-0.201 -0.233 7.373
Ge Ru Dy
2 2 2
Direct
0.113 0.113 0.226 Ge
0.887 0.887 0.774 Ge
0.500 0.000 0.000 Ru
0.000 0.500 0.000 Ru
0.353 0.353 0.706 Dy
0.647 0.647 0.294 Dy
```

Results
Symmetry: I4/mmm, No. 139
Mass density: 9.3 Mg/m³
Spin magnetization: 0.000 μB per formula unit
VASP energy: -41.49 eV per cell

In meV per atom, the E_form values for the records above are, in order, -606; -750.